# 1
A plane-wave DFT calculation with PBE was carried out for an optimized crystal structure of Zr2Nb2Cd.

Unit cell a=7.4649 b=7.4649 c=3.8567 alpha=90.00 beta=90.00 gamma=90.00
Last column: nearest neighbours and their distance in Å.
Atoms (fractional coordinates):
1 Nb 0.3749 0.8749 0.0000  1 Nb 2.64, 6 Zr 2.88-2.96, 2 Cd 2.95
2 Nb 0.8749 0.6251 0.0000  1 Nb 2.64, 6 Zr 2.88-2.96, 2 Cd 2.95
3 Nb 0.6251 0.1251 0.0000  1 Nb 2.64, 6 Zr 2.88-2.96, 2 Cd 2.95
4 Nb 0.1251 0.3749 0.0000  1 Nb 2.64, 6 Zr 2.88-2.96, 2 Cd 2.95
5 Zr 0.1717 0.6717 0.5000  6 Nb 2.88-2.96
6 Zr 0.6717 0.8283 0.5000  6 Nb 2.88-2.96
7 Zr 0.8283 0.3283 0.5000  6 Nb 2.88-2.96
8 Zr 0.3283 0.1717 0.5000  6 Nb 2.88-2.96
9 Cd 0.0000 0.0000 0.0000  4 Nb 2.95
10 Cd 0.5000 0.5000 0.0000  4 Nb 2.95

- E_form: 0.159 eV per atom
- DFT total energy: -74.7 eV/cell
- Crystal system: tetragonal
- M_tot: 0.00 μB/cell
- Space group: No. 127

---

# 2
A plane-wave DFT calculation with PBE was carried out for an optimized crystal structure of Nd2SiS.

Unit cell a=3.9942 b=4.2576 c=11.5563 alpha=100.62 beta=90.00 gamma=90.00
Last column: nearest neighbours and their distance in Å.
Atoms (fractional coordinates):
1 Nd 0.7500 0.6859 0.3719  5 S 2.81-2.92
2 Nd 0.2500 0.3141 0.6281  5 S 2.81-2.92
3 Nd 0.7500 0.9324 0.8647  1 S 2.79, 4 Si 3.01
4 Nd 0.2500 0.0676 0.1353  1 S 2.79, 4 Si 3.01
5 Si 0.2500 0.4646 0.9292  2 Si 2.56
6 Si 0.7500 0.5354 0.0708  2 Si 2.56
7 S 0.2500 0.1904 0.3808  6 Nd 2.79-2.92
8 S 0.7500 0.8096 0.6192  6 Nd 2.79-2.92

- DFT total energy: -49.3 eV/cell
- Crystal system: orthorhombic
- M_tot: 0.00 μB/cell
- Distance to the lowest polymorph of the same formula: 0.0 meV/atom
- Energy relative to the elements, uncorrected: -1392 meV/atom
- Space group: No. 63

---

# 3
A plane-wave DFT calculation with PBE was carried out for an optimized crystal structure of HfTeI2.

Unit cell a=10.5584 b=10.5584 c=7.9589 alpha=48.45 beta=48.45 gamma=90.00
Last column: nearest neighbours and their distance in Å.
Atoms (fractional coordinates):
1 I 0.7639 0.1250 0.2500  2 Hf 2.97
2 I 0.9861 0.6250 0.2500  2 Hf 2.97
3 I 0.3750 0.2361 0.7500  2 Hf 2.97
4 I 0.8750 0.0139 0.7500  2 Hf 2.97
5 Te 0.5000 0.5000 0.0000  2 Hf 2.76
6 Te 0.2500 0.7500 0.5000  2 Hf 2.76
7 Hf 0.0000 0.0000 0.0000  2 Te 2.76, 4 I 2.97
8 Hf 0.7500 0.2500 0.5000  2 Te 2.76, 4 I 2.97

- DFT total energy: -35.9 eV/cell
- Crystal system: tetragonal
- M_tot: 0.00 μB/cell
- Distance to the lowest polymorph of the same formula: 272.7 meV/atom
- Energy relative to the elements, uncorrected: -436 meV/atom
- Space group: No. 122

---

# 4
A plane-wave DFT calculation with PBE was carried out for an optimized crystal structure of ScPb.

Unit cell a=6.3473 b=6.3473 c=7.8890 alpha=71.91 beta=71.91 gamma=31.31
Last column: nearest neighbours and their distance in Å.
Atoms (fractional coordinates):
1 Sc 0.6766 0.6766 0.6830  4 Pb 3.05-3.15, 3 Sc 3.16-3.35
2 Sc 0.9475 0.9475 0.6013  5 Pb 3.04-3.30, 3 Sc 3.16-3.40
3 Sc 0.2791 0.2791 0.9639  6 Pb 3.15-3.46, 6 Sc 3.35-3.43
4 Pb 0.9976 0.9976 0.9550  5 Sc 3.04-3.15
5 Pb 0.3245 0.3245 0.3538  5 Sc 3.15-3.30, 5 Pb 3.32-3.43
6 Pb 0.6080 0.6080 0.2764  4 Sc 3.17-3.18, 5 Pb 3.32-3.43

- E_form: -0.179 eV per atom
- DFT total energy: -31.2 eV/cell
- Crystal system: monoclinic
- M_tot: 0.00 μB/cell
- Space group: No. 8

---

# 5
A plane-wave DFT calculation with PBE was carried out for an optimized crystal structure of Ac6Pr2Y3.

Unit cell a=6.6553 b=6.6348 c=12.1529 alpha=85.01 beta=80.01 gamma=59.90
Last column: nearest neighbours and their distance in Å.
Atoms (fractional coordinates):
1 Ac 0.4129 0.6679 0.7512  3 Y 3.71-3.72, 2 Pr 3.71-3.73, 6 Ac 3.81-3.85
2 Ac 0.7449 0.0000 0.7472  2 Pr 3.73, 3 Y 3.74-3.76, 6 Ac 3.82-3.85
3 Ac 0.0808 0.3321 0.7512  3 Y 3.71-3.72, 2 Pr 3.71-3.73, 6 Ac 3.81-3.85
4 Ac 0.2551 0.0000 0.2528  2 Pr 3.73, 3 Y 3.74-3.76, 6 Ac 3.82-3.85
5 Ac 0.5871 0.3321 0.2488  3 Y 3.71-3.72, 2 Pr 3.71-3.73, 6 Ac 3.81-3.85
6 Ac 0.9192 0.6679 0.2488  3 Y 3.71-3.72, 2 Pr 3.71-3.73, 6 Ac 3.81-3.85
7 Pr 0.1695 0.6611 0.5000  6 Ac 3.71-3.73, 3 Pr 3.81-3.89
8 Pr 0.8305 0.3389 0.5000  6 Ac 3.71-3.73, 3 Pr 3.81-3.89
9 Y 0.0000 0.0000 0.0000  6 Ac 3.71-3.76, 6 Y 3.83-3.84
10 Y 0.3343 0.3313 0.0000  6 Ac 3.71-3.74, 6 Y 3.80-3.85
11 Y 0.6657 0.6687 0.0000  6 Ac 3.71-3.74, 6 Y 3.80-3.85

- E_form: 0.174 eV per atom
- DFT total energy: -51.7 eV/cell
- Crystal system: monoclinic
- M_tot: 0.00 μB/cell
- Space group: No. 12

---

# 6
A plane-wave DFT calculation with PBE was carried out for an optimized crystal structure of ScNi2Te.

Unit cell a=3.9077 b=5.2421 c=4.1127 alpha=67.50 beta=88.52 gamma=111.26
Last column: nearest neighbours and their distance in Å.
Atoms (fractional coordinates):
1 Ni 0.0000 0.0000 0.0000  2 Te 2.64, 2 Sc 2.64, 4 Ni 2.80-2.87
2 Ni 0.5000 0.0000 0.5000  2 Sc 2.64, 2 Te 2.64, 4 Ni 2.80-2.87
3 Sc 0.0000 0.5000 0.5000  4 Ni 2.64, 4 Te 2.80-2.87
4 Te 0.5000 0.5000 0.0000  4 Ni 2.64, 4 Sc 2.80-2.87

- DFT total energy: -21.5 eV/cell
- Crystal system: monoclinic
- M_tot: 0.00 μB/cell
- Energy relative to the elements, uncorrected: -113 meV/atom
- Space group: No. 12

---

# 7
A plane-wave DFT calculation with PBE was carried out for an optimized crystal structure of Cr2MoAs.

Unit cell a=6.8212 b=6.8212 c=5.4869 alpha=51.57 beta=51.57 gamma=90.00
Last column: nearest neighbours and their distance in Å.
Atoms (fractional coordinates):
1 Cr 0.6212 0.1250 0.2500  2 As 2.48, 2 Mo 2.52, 2 Cr 2.62
2 Cr 0.1288 0.6250 0.2500  2 As 2.48, 2 Mo 2.52, 2 Cr 2.62
3 Cr 0.3750 0.3788 0.7500  2 As 2.48, 2 Mo 2.52, 2 Cr 2.62
4 Cr 0.8750 0.8712 0.7500  2 As 2.48, 2 Mo 2.52, 2 Cr 2.62
5 Mo 0.0000 0.0000 0.0000  4 Cr 2.52, 2 As 2.62
6 Mo 0.7500 0.2500 0.5000  4 Cr 2.52, 2 As 2.62
7 As 0.5000 0.5000 0.0000  4 Cr 2.48, 2 Mo 2.62
8 As 0.2500 0.7500 0.5000  4 Cr 2.48, 2 Mo 2.62

- E_form: 0.638 eV per atom
- DFT total energy: -64.4 eV/cell
- Crystal system: tetragonal
- M_tot: 7.04 μB/cell
- Space group: No. 122

---

# 8
A plane-wave DFT calculation with PBE was carried out for an optimized crystal structure of VGeAsBr.

Unit cell a=9.3696 b=4.3423 c=4.3334 alpha=90.00 beta=103.22 gamma=90.00
Last column: nearest neighbours and their distance in Å.
Atoms (fractional coordinates):
1 As 0.2454 0.0000 0.7794  1 Ge 2.52, 4 V 2.60-2.61
2 As 0.2454 0.5000 0.2794  1 Ge 2.52, 4 V 2.60-2.61
3 Ge 0.9688 0.0000 0.6432  1 As 2.52
4 Ge 0.9688 0.5000 0.1432  1 As 2.52
5 Br 0.5851 0.0000 0.9476  4 V 2.73
6 Br 0.5851 0.5000 0.4476  4 V 2.73
7 V 0.4036 0.0000 0.3574  4 As 2.60-2.61, 4 Br 2.73
8 V 0.4036 0.5000 0.8574  4 As 2.60-2.61, 4 Br 2.73

- DFT total energy: -40.2 eV/cell
- Crystal system: monoclinic
- M_tot: 1.52 μB/cell
- Distance to the lowest polymorph of the same formula: 191.1 meV/atom
- Energy relative to the elements, uncorrected: -8 meV/atom
- Space group: No. 8

---

# 9
A plane-wave DFT calculation with PBE was carried out for an optimized crystal structure of Tl9Hg2Pb.

Unit cell a=5.5203 b=5.5203 c=11.9761 alpha=90.00 beta=90.00 gamma=90.00
Last column: nearest neighbours and their distance in Å.
Atoms (fractional coordinates):
1 Tl 0.5000 0.5000 0.0000  8 Tl 3.45
2 Tl 0.5000 0.5000 0.3417  8 Tl 3.35-3.42
3 Tl 0.5000 0.5000 0.6583  8 Tl 3.35-3.42
4 Tl 0.5000 0.0000 0.1735  2 Hg 3.34, 4 Tl 3.42-3.45, 2 Pb 3.45
5 Tl 0.5000 0.0000 0.5000  4 Tl 3.35, 4 Hg 3.43
6 Tl 0.5000 0.0000 0.8265  2 Hg 3.34, 4 Tl 3.42-3.45, 2 Pb 3.45
7 Tl 0.0000 0.5000 0.1735  2 Hg 3.34, 4 Tl 3.42-3.45, 2 Pb 3.45
8 Tl 0.0000 0.5000 0.5000  4 Tl 3.35, 4 Hg 3.43
9 Tl 0.0000 0.5000 0.8265  2 Hg 3.34, 4 Tl 3.42-3.45, 2 Pb 3.45
10 Hg 0.0000 0.0000 0.3304  8 Tl 3.34-3.43
11 Hg 0.0000 0.0000 0.6696  8 Tl 3.34-3.43
12 Pb 0.0000 0.0000 0.0000  8 Tl 3.45

- E_form: 0.006 eV per atom
- DFT total energy: -25.5 eV/cell
- Crystal system: tetragonal
- M_tot: 0.00 μB/cell
- Space group: No. 123

---

# 10
A plane-wave DFT calculation with PBE was carried out for an optimized crystal structure of SrZr2Tl.

Unit cell a=6.7392 b=6.7392 c=5.4501 alpha=66.19 beta=66.19 gamma=29.50
Last column: nearest neighbours and their distance in Å.
Atoms (fractional coordinates):
1 Sr 0.2500 0.2500 0.2500  4 Tl 3.22, 2 Sr 3.43
2 Tl 0.7500 0.7500 0.7500  4 Zr 3.12, 4 Sr 3.22, 2 Tl 3.43
3 Zr 0.0298 0.0298 0.9696  2 Tl 3.12, 6 Zr 3.29-3.43
4 Zr 0.4702 0.4702 0.5304  2 Tl 3.12, 6 Zr 3.29-3.43

- E_form: 0.171 eV per atom
- DFT total energy: -20.5 eV/cell
- Crystal system: orthorhombic
- M_tot: 0.00 μB/cell
- Distance to the lowest polymorph of the same formula: 120.5 meV/atom
- Space group: No. 71

---

# 11
A plane-wave DFT calculation with PBE was carried out for an optimized crystal structure of TmSnRh.

Unit cell a=3.3630 b=4.6435 c=4.6435 alpha=120.00 beta=90.00 gamma=90.00
Last column: nearest neighbours and their distance in Å.
Atoms (fractional coordinates):
1 Tm 0.6664 0.6667 0.3333  6 Rh 3.16-3.17, 6 Sn 3.16, 2 Tm 3.36
2 Rh 0.1673 0.0000 0.0000  3 Sn 2.68
3 Sn 0.1663 0.3333 0.6667  3 Rh 2.68

- E_form: -0.759 eV per atom
- DFT total energy: -18.1 eV/cell
- Crystal system: hexagonal
- M_tot: 0.00 μB/cell
- Space group: No. 187

---

# 12
A plane-wave DFT calculation with PBE was carried out for an optimized crystal structure of FeCoCBr.

Unit cell a=3.1367 b=3.1359 c=6.0698 alpha=75.07 beta=75.09 gamma=59.99
Last column: nearest neighbours and their distance in Å.
Atoms (fractional coordinates):
1 C 0.2925 0.6565 0.3323  3 Co 1.99, 3 Fe 2.00-2.01
2 Co 0.0060 0.3706 0.1900  3 C 1.99
3 Fe 0.5759 0.9403 0.4812  3 C 2.00-2.01
4 Br 0.7969 0.1570 0.8327  3 Fe 2.72-2.73, 3 Co 2.74-2.76

- DFT total energy: -25.2 eV/cell
- Crystal system: triclinic
- M_tot: 2.00 μB/cell
- Distance to the lowest polymorph of the same formula: 30.3 meV/atom
- Energy relative to the elements, uncorrected: 320 meV/atom
- Space group: No. 1